Material: Ba2Ni3F10
Method: DFT, PBE with a Hubbard U
State: relaxed

The volume comes out at 13.88 A^3/atom. Its magnetization is 0.400 μB/atom. The calculation puts the total energy at -146.5 eV/cell. As for the symmetry: C2/m (12).

Cell lengths 9.852, 9.852, 7.935 Å; angles 110.73, 110.73, 35.62 degrees
Sites, in units of the cell vectors:
Ba (0.114, 0.114, 0.221)
Ba (0.217, 0.217, 0.814)
Ba (0.783, 0.783, 0.186)
Ba (0.886, 0.886, 0.779)
Ni (0.247, 0.753, 0.500)
Ni (0.323, 0.323, 0.483)
Ni (0.425, 0.425, 0.041)
Ni (0.575, 0.575, 0.959)
Ni (0.677, 0.677, 0.517)
Ni (0.753, 0.247, 0.500)
F (0.000, 0.500, 0.500)
F (0.017, 0.017, 0.682)
F (0.112, 0.589, 0.024)
F (0.129, 0.647, 0.473)
F (0.263, 0.263, 0.219)
F (0.275, 0.725, 0.000)
F (0.353, 0.871, 0.527)
F (0.366, 0.366, 0.757)
F (0.411, 0.888, 0.976)
F (0.478, 0.478, 0.316)
F (0.500, 0.000, 0.500)
F (0.522, 0.522, 0.684)
F (0.589, 0.112, 0.024)
F (0.634, 0.634, 0.243)
F (0.647, 0.129, 0.473)
F (0.725, 0.275, 0.000)
F (0.737, 0.737, 0.781)
F (0.871, 0.353, 0.527)
F (0.888, 0.411, 0.976)
F (0.983, 0.983, 0.318)